(1)
A geometry-optimized MgHgSe2 structure, computed with PBE-GGA. Values from VASP.

Results
- magnetization (μB per atom) = 0.0000
- density of states at the Fermi level (states/eV/cell) = 0.00
- E_form (uncorrected) (eV per atom) = -0.62
- energy above the most stable polymorph in this dataset (meV per atom) = 103

Quantum ESPRESSO input file:
```
&SYSTEM
  ibrav = 0, nat = 32, ntyp = 3
/
ATOMIC_SPECIES
Mg 24.30 Mg.upf
Hg 200.59 Hg.upf
Se 78.96 Se.upf
CELL_PARAMETERS angstrom
16.3817 0.0000 -0.2360
2.6021 6.8412 -3.9909
-2.6021 6.8412 3.9909
ATOMIC_POSITIONS crystal
Mg 0.4206 0.4701 0.3488
Mg 0.0794 0.8488 0.9701
Mg 0.5794 0.5299 0.6512
Mg 0.9206 0.1512 0.0299
Mg 0.3227 0.9866 0.1294
Mg 0.1773 0.6294 0.4866
Mg 0.6773 0.0134 0.8706
Mg 0.8227 0.3706 0.5134
Hg 0.1316 0.2923 0.1793
Hg 0.3684 0.6793 0.7923
Hg 0.8684 0.7077 0.8207
Hg 0.6316 0.3207 0.2077
Hg 0.3872 0.1025 0.6343
Hg 0.1128 0.1343 0.6025
Hg 0.6128 0.8975 0.3657
Hg 0.8872 0.8657 0.3975
Se 0.0191 0.6772 0.7843
Se 0.4809 0.2843 0.1772
Se 0.9809 0.3228 0.2157
Se 0.5191 0.7157 0.8228
Se 0.8004 0.2607 0.2546
Se 0.6996 0.7546 0.7607
Se 0.1996 0.7393 0.7454
Se 0.3004 0.2454 0.2393
Se 0.4988 0.7168 0.2744
Se 0.0012 0.7744 0.2168
Se 0.5012 0.2832 0.7256
Se 0.9988 0.2256 0.7832
Se 0.7500 0.2521 0.7521
Se 0.2500 0.7479 0.2479
Se 0.7500 0.7631 0.2631
Se 0.2500 0.2369 0.7369
```

=====

(2)
A geometry-optimized MgHgSe2 structure, computed with PBE-GGA. Values from VASP.

Results
- magnetization (μB per atom) = 0.0000
- density of states at the Fermi level (states/eV/cell) = 1.20
- E_form (uncorrected) (eV per atom) = -0.61
- energy above the most stable polymorph in this dataset (meV per atom) = 114

Quantum ESPRESSO input file:
```
&SYSTEM
  ibrav = 0, nat = 4, ntyp = 3
/
ATOMIC_SPECIES
Mg 24.30 Mg.upf
Hg 200.59 Hg.upf
Se 78.96 Se.upf
CELL_PARAMETERS angstrom
4.0118 0.0000 0.0000
0.0000 4.0118 0.0000
0.0000 0.0000 5.6941
ATOMIC_POSITIONS crystal
Mg 0.0000 0.0000 0.5000
Hg 0.5000 0.5000 0.0000
Se 0.5000 0.5000 0.5000
Se 0.0000 0.0000 0.0000
```

=====

(3)
A geometry-optimized MgHgSe2 structure, computed with PBE-GGA. Values from VASP.

Results
- magnetization (μB per atom) = 0.0000
- density of states at the Fermi level (states/eV/cell) = 0.00
- E_form (uncorrected) (eV per atom) = -0.60
- energy above the most stable polymorph in this dataset (meV per atom) = 127

Quantum ESPRESSO input file:
```
&SYSTEM
  ibrav = 0, nat = 16, ntyp = 3
/
ATOMIC_SPECIES
Mg 24.30 Mg.upf
Hg 200.59 Hg.upf
Se 78.96 Se.upf
CELL_PARAMETERS angstrom
10.8098 0.0000 0.0000
0.0000 3.9565 0.0000
0.0000 0.0000 10.6592
ATOMIC_POSITIONS crystal
Mg 0.4762 0.2500 0.3359
Mg 0.0238 0.7500 0.8359
Mg 0.5238 0.7500 0.6641
Mg 0.9762 0.2500 0.1641
Hg 0.1905 0.2500 0.5666
Hg 0.3095 0.7500 0.0666
Hg 0.8095 0.7500 0.4334
Hg 0.6905 0.2500 0.9334
Se 0.6529 0.2500 0.5055
Se 0.8471 0.7500 0.0055
Se 0.3471 0.7500 0.4945
Se 0.1529 0.2500 0.9945
Se 0.4850 0.2500 0.8194
Se 0.0150 0.7500 0.3194
Se 0.5150 0.7500 0.1806
Se 0.9850 0.2500 0.6806
```